# RbRu PBE relaxed
data_RbRu
_space_group_name_H-M_alt 'P 63/m'
_space_group_IT_number 176
_space_group_name_Hall '-P 6c'
_cell_length_a 14.0363
_cell_length_b 14.0363
_cell_length_c 3.8424
_cell_angle_alpha 90.00
_cell_angle_beta 90.00
_cell_angle_gamma 120.00
loop_
_atom_site_label
_atom_site_fract_x
_atom_site_fract_y
_atom_site_fract_z
Rb1 0.1854 0.4335 0.2500
Ru1 0.0213 0.5503 0.2500
# - energy of formation (eV/f.u.) = 2.329
# - E above lowest polymorph (meV/atom) = 562

***

# RbRu PBE relaxed
data_RbRu
_space_group_name_H-M_alt 'C m c m'
_space_group_IT_number 63
_space_group_name_Hall '-C 2c 2'
_cell_length_a 6.119
_cell_length_b 11.455
_cell_length_c 7.822
_cell_angle_alpha 90.00
_cell_angle_beta 90.00
_cell_angle_gamma 90.00
loop_
_atom_site_label
_atom_site_fract_x
_atom_site_fract_y
_atom_site_fract_z
Rb1 0.000 0.089 0.250
Rb2 0.000 0.238 0.750
Ru1 0.000 0.431 0.104
# - energy of formation (eV/f.u.) = 2.178
# - E above lowest polymorph (meV/atom) = 486

***

# RbRu PBE relaxed
data_RbRu
_space_group_name_H-M_alt 'I 4/m m m'
_space_group_IT_number 139
_space_group_name_Hall '-I 4 2'
_cell_length_a 13.210
_cell_length_b 13.210
_cell_length_c 4.031
_cell_angle_alpha 90.00
_cell_angle_beta 90.00
_cell_angle_gamma 90.00
loop_
_atom_site_label
_atom_site_fract_x
_atom_site_fract_y
_atom_site_fract_z
Rb1 0.000 0.255 0.000
Ru1 0.221 0.221 0.500
# - energy of formation (eV/f.u.) = 2.162
# - E above lowest polymorph (meV/atom) = 479

***

# RbRu PBE relaxed
data_RbRu
_space_group_name_H-M_alt 'P m n 21'
_space_group_IT_number 31
_space_group_name_Hall 'P 2ac -2'
_cell_length_a 17.745
_cell_length_b 2.917
_cell_length_c 6.669
_cell_angle_alpha 90.00
_cell_angle_beta 90.00
_cell_angle_gamma 90.00
loop_
_atom_site_label
_atom_site_fract_x
_atom_site_fract_y
_atom_site_fract_z
Rb1 0.000 0.182 0.000
Rb2 0.189 0.181 0.789
Ru1 0.000 0.678 0.486
Ru2 0.117 0.684 0.344
# - energy of formation (eV/f.u.) = 2.308
# - E above lowest polymorph (meV/atom) = 552

***

# Rb3Ru PBE relaxed
data_Rb3Ru
_space_group_name_H-M_alt 'F m -3 m'
_space_group_IT_number 225
_space_group_name_Hall '-F 4 2 3'
_cell_length_a 8.962
_cell_length_b 8.962
_cell_length_c 8.962
_cell_angle_alpha 90.00
_cell_angle_beta 90.00
_cell_angle_gamma 90.00
loop_
_atom_site_label
_atom_site_fract_x
_atom_site_fract_y
_atom_site_fract_z
Rb1 0.000 0.000 0.000
Rb2 0.250 0.250 0.250
Ru1 0.000 0.000 0.500
# - energy of formation (eV/f.u.) = 4.436

***

# RbRu PBE relaxed
data_RbRu
_space_group_name_H-M_alt 'P 42/m n m'
_space_group_IT_number 136
_space_group_name_Hall '-P 4n 2n'
_cell_length_a 7.318
_cell_length_b 7.318
_cell_length_c 6.974
_cell_angle_alpha 90.00
_cell_angle_beta 90.00
_cell_angle_gamma 90.00
loop_
_atom_site_label
_atom_site_fract_x
_atom_site_fract_y
_atom_site_fract_z
Rb1 0.179 0.179 0.000
Ru1 0.108 0.108 0.500
# - energy of formation (eV/f.u.) = 3.320
# - E above lowest polymorph (meV/atom) = 1057

***

# RbRu PBE relaxed
data_RbRu
_space_group_name_H-M_alt 'P 4/m'
_space_group_IT_number 83
_space_group_name_Hall '-P 4'
_cell_length_a 12.999
_cell_length_b 12.999
_cell_length_c 4.681
_cell_angle_alpha 90.00
_cell_angle_beta 90.00
_cell_angle_gamma 90.00
loop_
_atom_site_label
_atom_site_fract_x
_atom_site_fract_y
_atom_site_fract_z
Rb1 0.082 0.651 0.000
Rb2 0.207 0.325 0.500
Ru1 0.064 0.884 0.500
Ru2 0.074 0.110 0.000
# - energy of formation (eV/f.u.) = 1.205
# - E above lowest polymorph (meV/atom) = 0

***

# RbRu PBE relaxed
data_RbRu
_space_group_name_H-M_alt 'P 63 m c'
_space_group_IT_number 186
_space_group_name_Hall 'P 6c -2c'
_cell_length_a 3.0017
_cell_length_b 3.0017
_cell_length_c 12.0305
_cell_angle_alpha 90.00
_cell_angle_beta 90.00
_cell_angle_gamma 120.00
loop_
_atom_site_label
_atom_site_fract_x
_atom_site_fract_y
_atom_site_fract_z
Rb1 0.3333 0.6667 0.0000
Ru1 0.3333 0.6667 0.2602
# - energy of formation (eV/f.u.) = 3.308
# - E above lowest polymorph (meV/atom) = 1051

***

# RbRu PBE relaxed
data_RbRu
_space_group_name_H-M_alt 'F -4 3 m'
_space_group_IT_number 216
_space_group_name_Hall 'F -4 2 3'
_cell_length_a 8.090
_cell_length_b 8.090
_cell_length_c 8.090
_cell_angle_alpha 90.00
_cell_angle_beta 90.00
_cell_angle_gamma 90.00
loop_
_atom_site_label
_atom_site_fract_x
_atom_site_fract_y
_atom_site_fract_z
Rb1 0.000 0.000 0.000
Ru1 0.250 0.250 0.750
# - energy of formation (eV/f.u.) = 5.190
# - E above lowest polymorph (meV/atom) = 1993

***

# Rb3RuS PBE relaxed
data_Rb3RuS
_space_group_name_H-M_alt 'P m -3 m'
_space_group_IT_number 221
_space_group_name_Hall '-P 4 2 3'
_cell_length_a 6.393
_cell_length_b 6.393
_cell_length_c 6.393
_cell_angle_alpha 90.00
_cell_angle_beta 90.00
_cell_angle_gamma 90.00
loop_
_atom_site_label
_atom_site_fract_x
_atom_site_fract_y
_atom_site_fract_z
Rb1 0.000 0.000 0.500
Ru1 0.500 0.500 0.500
S1 0.000 0.000 0.000
# - formation energy (no corrections) (meV per atom) = 467
# - E above lowest polymorph (meV/atom) = 0

***

# RbRu2S3 PBE relaxed
data_RbRu2S3
_space_group_name_H-M_alt 'C m c m'
_space_group_IT_number 63
_space_group_name_Hall '-C 2c 2'
_cell_length_a 9.231
_cell_length_b 11.578
_cell_length_c 5.535
_cell_angle_alpha 90.00
_cell_angle_beta 90.00
_cell_angle_gamma 90.00
loop_
_atom_site_label
_atom_site_fract_x
_atom_site_fract_y
_atom_site_fract_z
Rb1 0.000 0.177 0.250
Ru1 0.147 0.500 0.000
S1 0.000 0.390 0.750
S2 0.217 0.109 0.750
# - formation energy (no corrections) (meV per atom) = -595

***

# RbRu3S PBE relaxed
data_RbRu3S
_space_group_name_H-M_alt 'P m -3 m'
_space_group_IT_number 221
_space_group_name_Hall '-P 4 2 3'
_cell_length_a 4.922
_cell_length_b 4.922
_cell_length_c 4.922
_cell_angle_alpha 90.00
_cell_angle_beta 90.00
_cell_angle_gamma 90.00
loop_
_atom_site_label
_atom_site_fract_x
_atom_site_fract_y
_atom_site_fract_z
Rb1 0.000 0.000 0.000
Ru1 0.000 0.000 0.500
S1 0.500 0.500 0.500
# - formation energy (no corrections) (meV per atom) = 3172
# - E above lowest polymorph (meV/atom) = 2299